# 1
Material: U4CS5
Method: DFT, PBE
State: optimized geometry

a = 8.5258 Å, b = 8.5258 Å, c = 7.3474 Å
α = 103.91°, β = 103.91°, γ = 26.02°
With the nearest neighbours (Å) after each atom.
Fractional positions:
U1 0.0030 0.0030 0.2729  2 C 2.55, 4 S 2.67-2.77
U2 0.3400 0.3400 0.4030  1 C 2.58, 5 S 2.64-2.73
U3 0.6600 0.6600 0.5970  1 C 2.58, 5 S 2.64-2.73
U4 0.9970 0.9970 0.7271  2 C 2.55, 4 S 2.67-2.77
C1 0.5000 0.5000 0.5000  6 U 2.55-2.58
S1 0.1624 0.1624 0.8455  3 U 2.64-2.67
S2 0.1713 0.1713 0.3411  4 U 2.72-2.73
S3 0.5000 0.5000 0.0000  4 U 2.77
S4 0.8287 0.8287 0.6589  4 U 2.72-2.73
S5 0.8376 0.8376 0.1545  3 U 2.64-2.67

Output
Space-group type = C2/m (12)
Energy = -85.49 eV/f.u.

# 2
Material: Hf2NiIr
Method: DFT, PBE
State: optimized geometry

a = 3.2874 Å, b = 4.3227 Å, c = 9.9216 Å
α = 90.01°, β = 99.53°, γ = 90.00°
With the nearest neighbours (Å) after each atom.
Fractional positions:
Hf1 0.0583 0.2500 0.1157  2 Ir 2.69, 6 Ni 2.72-2.93
Hf2 0.1941 0.7498 0.3871  5 Ir 2.74-2.77, 2 Ni 2.99
Hf3 0.8059 0.2502 0.6129  5 Ir 2.74-2.77, 2 Ni 2.99
Hf4 0.9417 0.7500 0.8843  2 Ir 2.69, 6 Ni 2.72-2.93
Ni1 0.4337 0.2505 0.8682  8 Hf 2.72-2.99, 2 Ir 2.92
Ni2 0.5663 0.7495 0.1318  8 Hf 2.72-2.99, 2 Ir 2.92
Ir1 0.3329 0.7503 0.6669  7 Hf 2.69-2.77, 2 Ni 2.92
Ir2 0.6671 0.2497 0.3331  7 Hf 2.69-2.77, 2 Ni 2.92

Output
Space-group type = P-1 (2)
Energy = -37.44 eV/f.u.
Formation energy = -0.723 eV/atom

# 3
Material: Ho2ErTe
Method: DFT, PBE
State: optimized geometry

a = 9.9447 Å, b = 9.9447 Å, c = 9.9447 Å
α = 22.34°, β = 22.34°, γ = 22.34°
With the nearest neighbours (Å) after each atom.
Fractional positions:
Ho1 0.0000 0.0000 0.0000  3 Te 3.08
Ho2 0.1875 0.1875 0.1875  3 Te 3.07
Er1 0.4267 0.4267 0.4267  6 Ho 3.51-3.53, 6 Er 3.85
Te1 0.5936 0.5936 0.5936  6 Ho 3.07-3.08

Output
Space-group type = R3m (160)
Energy = -18.94 eV/f.u.
Energy above the most stable polymorph in this dataset = 11.2 kJ per mole of atoms

# 4
Material: FePbBr2
Method: DFT, PBE
State: optimized geometry

a = 5.2512 Å, b = 5.2512 Å, c = 5.2512 Å
α = 60.00°, β = 60.00°, γ = 60.00°
With the nearest neighbours (Å) after each atom.
Fractional positions:
Fe1 0.0000 0.0000 0.0000  4 Br 3.22, 4 Pb 3.22
Pb1 0.2500 0.2500 0.2500  4 Br 3.22, 4 Fe 3.22
Br1 0.5000 0.5000 0.5000  4 Pb 3.22, 4 Br 3.22
Br2 0.7500 0.7500 0.7500  4 Br 3.22, 4 Fe 3.22

Output
Space-group type = F-43m (216)
Energy = -13.68 eV/f.u.
Energy above the most stable polymorph in this dataset = 61.7 kJ per mole of atoms

# 5
Material: Li4Sn3Au4
Method: DFT, PBE
State: optimized geometry

a = 8.2753 Å, b = 8.2753 Å, c = 8.2753 Å
α = 152.00°, β = 125.89°, γ = 62.02°
With the nearest neighbours (Å) after each atom.
Fractional positions:
Li1 0.0282 0.8281 0.2001  4 Au 2.56-2.72
Li2 0.3720 0.1719 0.2001  4 Au 2.56-2.72
Li3 0.6280 0.8281 0.7999  4 Au 2.56-2.72
Li4 0.9718 0.1719 0.7999  4 Au 2.56-2.72
Sn1 0.0000 0.5000 0.5000  6 Au 3.04-3.14
Sn2 0.3761 0.3761 0.0000  6 Au 2.97-3.05, 6 Li 3.09-3.27
Sn3 0.6239 0.6239 0.0000  6 Au 2.97-3.05, 6 Li 3.09-3.27
Au1 0.2211 0.7211 0.5000  6 Li 2.60-2.72
Au2 0.3042 0.0000 0.3042  2 Li 2.56
Au3 0.6958 0.0000 0.6958  2 Li 2.56
Au4 0.7789 0.2789 0.5000  6 Li 2.60-2.72

Output
Space-group type = Immm (71)
Energy = -36.33 eV/f.u.
Formation energy = -0.323 eV/atom

# 6
Material: MnZn
Method: DFT, PBE
State: optimized geometry

a = 2.7176 Å, b = 3.7226 Å, c = 5.4198 Å
α = 90.00°, β = 90.00°, γ = 90.00°
With the nearest neighbours (Å) after each atom.
Fractional positions:
Mn1 0.2500 0.2500 0.1247  6 Zn 2.65-2.76, 6 Mn 2.67-2.72
Mn2 0.7500 0.7500 0.8753  6 Zn 2.65-2.76, 6 Mn 2.67-2.72
Zn1 0.2500 0.2500 0.6337  6 Mn 2.65-2.76, 6 Zn 2.72
Zn2 0.7500 0.7500 0.3663  6 Mn 2.65-2.76, 6 Zn 2.72

Output
Space-group type = Pmmn (59)
Energy = -10.17 eV/f.u.
Formation energy = 0.137 eV/atom

# 7
Material: BeCd2As2
Method: DFT, PBE
State: optimized geometry

a = 6.0095 Å, b = 6.0095 Å, c = 5.7886 Å
α = 90.00°, β = 90.00°, γ = 90.00°
With the nearest neighbours (Å) after each atom.
Fractional positions:
Be1 0.0000 0.0000 0.0000  4 As 2.31
Be2 0.5000 0.5000 0.0000  4 As 2.31
Cd1 0.1837 0.3163 0.5000  2 As 2.91, 5 Cd 3.11-3.12
Cd2 0.3163 0.8163 0.5000  2 As 2.91, 5 Cd 3.11-3.12
Cd3 0.6837 0.1837 0.5000  2 As 2.91, 5 Cd 3.11-3.12
Cd4 0.8163 0.6837 0.5000  2 As 2.91, 5 Cd 3.11-3.12
As1 0.1441 0.3559 0.0000  2 Be 2.31, 1 As 2.45
As2 0.3559 0.8559 0.0000  2 Be 2.31, 1 As 2.45
As3 0.6441 0.1441 0.0000  2 Be 2.31, 1 As 2.45
As4 0.8559 0.6441 0.0000  2 Be 2.31, 1 As 2.45

Output
Space-group type = P4/mbm (127)
Energy = -14.28 eV/f.u.
Formation energy = 0.116 eV/atom
Energy above the most stable polymorph in this dataset = 0.0 kJ per mole of atoms

# 8
Material: BeAl2Mo
Method: DFT, PBE
State: optimized geometry

a = 3.2776 Å, b = 3.2776 Å, c = 5.2955 Å
α = 90.00°, β = 90.00°, γ = 90.00°
With the nearest neighbours (Å) after each atom.
Fractional positions:
Be1 0.0000 0.0000 0.0000  5 Al 2.44-2.69, 4 Mo 2.60
Al1 0.0000 0.0000 0.4608  1 Be 2.44, 4 Mo 2.64
Al2 0.5000 0.5000 0.7434  2 Mo 2.54-2.75, 4 Be 2.69, 4 Al 2.76
Mo1 0.5000 0.5000 0.2233  6 Al 2.54-2.75, 4 Be 2.60

Output
Space-group type = P4mm (99)
Energy = -21.99 eV/f.u.
Formation energy = 0.014 eV/atom

# 9
Material: Zr2CrBr
Method: DFT, PBE
State: optimized geometry

a = 5.2346 Å, b = 5.2346 Å, c = 5.2346 Å
α = 137.30°, β = 120.71°, γ = 75.78°
With the nearest neighbours (Å) after each atom.
Fractional positions:
Zr1 0.2451 0.2451 0.0000  2 Cr 2.78, 2 Br 2.84
Zr2 0.7549 0.7549 0.0000  2 Cr 2.78, 2 Br 2.84
Cr1 0.0000 0.5000 0.5000  4 Zr 2.78
Br1 0.5000 0.0000 0.5000  4 Zr 2.84

Output
Space-group type = Immm (71)
Energy = -27.25 eV/f.u.
Energy above the most stable polymorph in this dataset = 48.6 kJ per mole of atoms

# 10
Material: PaFe3B
Method: DFT, PBE
State: optimized geometry

a = 5.5488 Å, b = 5.5488 Å, c = 9.2544 Å
α = 90.00°, β = 90.00°, γ = 120.00°
With the nearest neighbours (Å) after each atom.
Fractional positions:
Pa1 0.0000 0.0000 0.0000  12 Fe 2.77-2.80
Pa2 0.0000 0.0000 0.5000  12 Fe 2.77-2.80
Pa3 0.3333 0.6667 0.2500  12 Fe 2.77-2.81
Pa4 0.6667 0.3333 0.7500  12 Fe 2.77-2.81
Fe1 0.0000 0.5000 0.0000  2 B 1.99
Fe2 0.0000 0.5000 0.5000  2 B 1.99
Fe3 0.1646 0.3291 0.7500  2 B 1.98
Fe4 0.1646 0.8354 0.7500  2 B 1.98
Fe5 0.3291 0.1646 0.2500  2 B 1.98
Fe6 0.5000 0.0000 0.0000  2 B 1.99
Fe7 0.5000 0.0000 0.5000  2 B 1.99
Fe8 0.5000 0.5000 0.0000  2 B 1.99
Fe9 0.5000 0.5000 0.5000  2 B 1.99
Fe10 0.6709 0.8354 0.7500  2 B 1.98
Fe11 0.8354 0.1646 0.2500  2 B 1.98
Fe12 0.8354 0.6709 0.2500  2 B 1.98
B1 0.3333 0.6667 0.6273  6 Fe 1.98-1.99
B2 0.3333 0.6667 0.8727  6 Fe 1.98-1.99
B3 0.6667 0.3333 0.1273  6 Fe 1.98-1.99
B4 0.6667 0.3333 0.3727  6 Fe 1.98-1.99

Output
Space-group type = P6_3/mmc (194)
Energy = -42.96 eV/f.u.
Formation energy = -0.279 eV/atom
Energy above the most stable polymorph in this dataset = 6.0 kJ per mole of atoms

# 11
Material: TbMgPd
Method: DFT, PBE
State: optimized geometry

a = 4.7179 Å, b = 4.7179 Å, c = 4.7179 Å
α = 60.00°, β = 60.00°, γ = 60.00°
With the nearest neighbours (Å) after each atom.
Fractional positions:
Tb1 0.0000 0.0000 0.0000  4 Pd 2.89
Mg1 0.5000 0.5000 0.5000  4 Pd 2.89
Pd1 0.7500 0.7500 0.7500  4 Tb 2.89, 4 Mg 2.89

Output
Space-group type = F-43m (216)
Energy = -13.00 eV/f.u.
Formation energy = -0.528 eV/atom

# 12
Material: YThIr2
Method: DFT, PBE
State: optimized geometry

a = 4.2329 Å, b = 5.7820 Å, c = 5.7820 Å
α = 39.57°, β = 90.00°, γ = 90.00°
With the nearest neighbours (Å) after each atom.
Fractional positions:
Y1 0.0000 0.0000 0.0000  7 Ir 2.93-3.17
Th1 0.5000 0.2814 0.2814  7 Ir 2.92-3.19
Ir1 0.0000 0.7294 0.7294  2 Ir 2.88, 4 Th 2.94, 3 Y 2.94-3.17
Ir2 0.5000 0.5497 0.5497  2 Ir 2.88, 3 Th 2.92-3.19, 4 Y 2.93

Output
Space-group type = Amm2 (38)
Energy = -35.20 eV/f.u.
Formation energy = -0.898 eV/atom
Energy above the most stable polymorph in this dataset = 0.0 kJ per mole of atoms

# 13
Material: Sc3Si4Pd7
Method: DFT, PBE
State: optimized geometry

a = 7.8091 Å, b = 7.8091 Å, c = 9.1913 Å
α = 123.06°, β = 123.06°, γ = 29.16°
With the nearest neighbours (Å) after each atom.
Fractional positions:
Sc1 0.0000 0.0000 0.0000  6 Si 2.89-3.03, 4 Pd 3.17
Sc2 0.3254 0.3254 0.3279  4 Si 2.89-2.91, 10 Pd 2.94-3.18
Sc3 0.6746 0.6746 0.6721  4 Si 2.89-2.91, 10 Pd 2.94-3.18
Si1 0.1103 0.1103 0.8263  6 Pd 2.47-2.53
Si2 0.3341 0.3341 0.7347  5 Pd 2.38-2.51
Si3 0.6659 0.6659 0.2653  5 Pd 2.38-2.51
Si4 0.8897 0.8897 0.1737  6 Pd 2.47-2.53
Pd1 0.0000 0.0000 0.5000  2 Si 2.48
Pd2 0.1697 0.1697 0.4247  3 Si 2.43-2.51
Pd3 0.3065 0.3065 0.9651  4 Si 2.38-2.53
Pd4 0.4909 0.4909 0.7219  3 Si 2.44-2.47
Pd5 0.5091 0.5091 0.2781  3 Si 2.44-2.47
Pd6 0.6935 0.6935 0.0349  4 Si 2.38-2.53
Pd7 0.8303 0.8303 0.5753  3 Si 2.43-2.51

Output
Space-group type = C2/m (12)
Energy = -89.33 eV/f.u.

# 14
Material: KRb2NaCd
Method: DFT, PBE
State: optimized geometry

a = 7.1194 Å, b = 7.1194 Å, c = 6.8504 Å
α = 90.00°, β = 90.00°, γ = 90.00°
With the nearest neighbours (Å) after each atom.
Fractional positions:
K1 0.0000 0.0000 0.0000  2 Cd 3.43
Rb1 0.0000 0.5000 0.5000  2 Cd 3.56
Rb2 0.5000 0.0000 0.5000  2 Cd 3.56
Na1 0.5000 0.5000 0.0000  8 Rb 4.94, 4 K 5.03
Cd1 0.0000 0.0000 0.5000  2 K 3.43, 4 Rb 3.56

Output
Space-group type = P4/mmm (123)
Energy = -4.73 eV/f.u.
Formation energy = 0.108 eV/atom
Energy above the most stable polymorph in this dataset = 4.7 kJ per mole of atoms

# 15
Material: LiNiPb
Method: DFT, PBE
State: optimized geometry

a = 4.3701 Å, b = 4.3701 Å, c = 4.3701 Å
α = 60.00°, β = 60.00°, γ = 60.00°
With the nearest neighbours (Å) after each atom.
Fractional positions:
Li1 0.0000 0.0000 0.0000  4 Pb 2.68
Ni1 0.5000 0.5000 0.5000  4 Pb 2.68
Pb1 0.7500 0.7500 0.7500  4 Li 2.68, 4 Ni 2.68

Output
Space-group type = F-43m (216)
Energy = -10.86 eV/f.u.
Formation energy = 0.182 eV/atom

# 16
Material: Hg2GeAs
Method: DFT, PBE
State: optimized geometry

a = 5.0192 Å, b = 5.0192 Å, c = 5.0192 Å
α = 60.00°, β = 60.00°, γ = 60.00°
With the nearest neighbours (Å) after each atom.
Fractional positions:
Hg1 0.2500 0.2500 0.2500  4 Ge 3.07, 4 As 3.07
Hg2 0.7500 0.7500 0.7500  4 As 3.07, 4 Ge 3.07
Ge1 0.0000 0.0000 0.0000  8 Hg 3.07
As1 0.5000 0.5000 0.5000  8 Hg 3.07

Output
Space-group type = Fm-3m (225)
Energy = -8.32 eV/f.u.
Formation energy = 0.388 eV/atom
Energy above the most stable polymorph in this dataset = 0.0 kJ per mole of atoms

# 17
Material: PmTiGe2
Method: DFT, PBE
State: optimized geometry

a = 4.4298 Å, b = 4.4298 Å, c = 4.1153 Å
α = 90.00°, β = 90.00°, γ = 90.00°
With the nearest neighbours (Å) after each atom.
Fractional positions:
Pm1 0.0000 0.0000 0.0000  8 Ge 3.02, 4 Ti 3.13
Ti1 0.5000 0.5000 0.0000  8 Ge 3.02, 4 Pm 3.13
Ge1 0.0000 0.5000 0.5000  4 Pm 3.02, 4 Ti 3.02, 4 Ge 3.13
Ge2 0.5000 0.0000 0.5000  4 Pm 3.02, 4 Ti 3.02, 4 Ge 3.13

Output
Space-group type = P4/mmm (123)
Energy = -23.31 eV/f.u.
Formation energy = -0.356 eV/atom